[1]
The following is a DFT calculation (PBE) of an optimized crystal structure of Nd2YTh3As6.

Results
Total DFT energy (no corrections)   -6.99 eV/atom

a = 18.4740 Å, b = 4.2463 Å, c = 8.4609 Å
α = 90.00°, β = 103.07°, γ = 90.00°
Space group C2/m (No. 12)
Unique sites:
1 Nd 0.1664 0.0000 0.3331 x4
2 Y 0.0000 0.5000 0.0000 x2
3 Th 0.0000 0.5000 0.5000 x2
4 Th 0.1673 0.0000 0.8337 x4
5 As 0.0011 0.0000 0.7548 x4
6 As 0.1647 0.5000 0.0802 x4
7 As 0.1658 0.5000 0.5849 x4


[2]
The following is a DFT calculation (PBE) of an optimized crystal structure of Ca7Ac2La2.

Results
Total DFT energy (no corrections)   -2.81 eV/atom

a = 7.5841 Å, b = 11.4912 Å, c = 10.7746 Å
α = 90.00°, β = 90.68°, γ = 90.00°
Space group C2/m (No. 12)
Unique sites:
1 Ca 0.0000 0.0000 0.0000 x2
2 Ca 0.1391 0.2956 0.8472 x8
3 Ca 0.2056 0.5000 0.2839 x4
4 Ac 0.0000 0.2742 0.5000 x4
5 La 0.1718 0.0000 0.3788 x4


[3]
The following is a DFT calculation (PBE) of an optimized crystal structure of Pa2Ga3Pd2.

Results
Total DFT energy (no corrections)   -6.04 eV/atom

a = 4.2347 Å, b = 18.4284 Å, c = 7.0091 Å
α = 90.00°, β = 90.00°, γ = 90.00°
Space group Cmcm (No. 63)
Unique sites:
1 Pa 0.0000 0.0497 0.2500 x4
2 Pa 0.0000 0.1574 0.7500 x4
3 Ga 0.0000 0.2165 0.2500 x4
4 Ga 0.0000 0.4392 0.0692 x8
5 Pd 0.0000 0.3065 0.5429 x8


[4]
The following is a DFT calculation (PBE) of an optimized crystal structure of FePOs2Au.

Results
Total DFT energy (no corrections)   -7.84 eV/atom

a = 2.8160 Å, b = 2.8160 Å, c = 17.3096 Å
α = 90.00°, β = 90.00°, γ = 90.00°
Space group I4mm (No. 107)
Unique sites:
1 Fe 0.0000 0.0000 0.0000 x2
2 P 0.0000 0.0000 0.5594 x2
3 Os 0.0000 0.0000 0.1585 x2
4 Os 0.0000 0.0000 0.7583 x2
5 Au 0.0000 0.0000 0.3811 x2


[5]
The following is a DFT calculation (PBE) of an optimized crystal structure of Tm3In2Au.

Results
Total DFT energy (no corrections)   -4.29 eV/atom

a = 3.5143 Å, b = 3.5143 Å, c = 11.9876 Å
α = 90.00°, β = 90.00°, γ = 90.00°
Space group P4/mmm (No. 123)
Unique sites:
1 Tm 0.0000 0.0000 0.0000 x1
2 Tm 0.0000 0.0000 0.3520 x2
3 In 0.5000 0.5000 0.1751 x2
4 Au 0.5000 0.5000 0.5000 x1


[6]
The following is a DFT calculation (PBE) of an optimized crystal structure of Mg4ZnW.

Results
Total DFT energy (no corrections)   -2.71 eV/atom

a = 7.7911 Å, b = 7.7911 Å, c = 7.7911 Å
α = 90.00°, β = 90.00°, γ = 90.00°
Space group F-43m (No. 216)
Unique sites:
1 Mg 0.1245 0.1245 0.1245 x16
2 Zn 0.0000 0.0000 0.5000 x4
3 W 0.2500 0.2500 0.7500 x4


[7]
The following is a DFT calculation (PBE) of an optimized crystal structure of TbGdGaSn.

Results
Total DFT energy (no corrections)   -7.00 eV/atom

a = 7.4248 Å, b = 7.4248 Å, c = 7.4248 Å
α = 90.00°, β = 90.00°, γ = 90.00°
Space group F-43m (No. 216)
Unique sites:
1 Tb 0.0000 0.0000 0.0000 x4
2 Gd 0.0000 0.0000 0.5000 x4
3 Ga 0.2500 0.2500 0.7500 x4
4 Sn 0.2500 0.2500 0.2500 x4


[8]
The following is a DFT calculation (PBE) of an optimized crystal structure of Ho6Th2Sc.

Results
Total DFT energy (no corrections)   -5.33 eV/atom

a = 3.5212 Å, b = 3.5212 Å, c = 25.9105 Å
α = 90.00°, β = 90.00°, γ = 120.00°
Space group P-6m2 (No. 187)
Unique sites:
1 Ho 0.0000 0.0000 0.0642 x2
2 Ho 0.0000 0.0000 0.2877 x2
3 Ho 0.3333 0.6667 0.3977 x2
4 Th 0.3333 0.6667 0.1738 x2
5 Sc 0.0000 0.0000 0.5000 x1


Energy of formation values, unit meV per atom, following the record order: -1473.8; 102.0; -541.7; 79.6; -592.2; 720.2; -567.8; 78.7.
Calculated volume values, unit Å³ per atom, following the record order: 26.938; 42.680; 19.535; 13.726; 24.675; 19.705; 25.582; 30.913.
DOS(E_F) values, unit states/eV/f.u., following the record order: 5.43; 14.82; 5.65; 3.39; 2.41; 5.11; 2.50; 18.35.